# Ag2BAu

A relaxed Ag2BAu crystal (GGA-PBEsol, the Alexandria database).

Calculated values
For the formation energy, the calculation gives 51.3 kJ/mol of atoms.

Structure (CIF):
```
data_Ag2BAu
_chemical_formula_sum 'Ag8 B4 Au4'
_space_group_name_H-M_alt 'I -4 2 d'
_space_group_IT_number 122
_space_group_name_Hall 'I -4 2bw'
_cell_length_a 7.529
_cell_length_b 7.529
_cell_length_c 4.450
_cell_angle_alpha 90.00
_cell_angle_beta 90.00
_cell_angle_gamma 90.00
loop_
_atom_site_label
_atom_site_fract_x
_atom_site_fract_y
_atom_site_fract_z
Ag1 0.146 0.750 0.125
B1 0.000 0.000 0.000
Au1 0.000 0.000 0.500
```



# Ta3Pb2

A relaxed Ta3Pb2 crystal (GGA-PBEsol, the Alexandria database).

Calculated values
For the formation energy, the calculation gives 101.8 kJ/mol of atoms.

Structure (CIF):
```
data_Ta3Pb2
_chemical_formula_sum 'Ta3 Pb2'
_space_group_name_H-M_alt 'P -3 m 1'
_space_group_IT_number 164
_space_group_name_Hall '-P 3 2"'
_cell_length_a 4.6794
_cell_length_b 4.6794
_cell_length_c 5.7849
_cell_angle_alpha 90.00
_cell_angle_beta 90.00
_cell_angle_gamma 120.00
loop_
_atom_site_label
_atom_site_fract_x
_atom_site_fract_y
_atom_site_fract_z
Ta1 0.0000 0.0000 0.0000
Ta2 0.3333 0.6667 0.3170
Pb1 0.3333 0.6667 0.8043
```



# HgOs3

A relaxed HgOs3 crystal (GGA-PBEsol, the Alexandria database).

Calculated values
For the formation energy, the calculation gives 105.1 kJ/mol of atoms. The offset from the most stable computed form comes out at 372.7 meV per atom.

Structure (CIF):
```
data_HgOs3
_chemical_formula_sum 'Hg1 Os3'
_space_group_name_H-M_alt 'P 4/m m m'
_space_group_IT_number 123
_space_group_name_Hall '-P 4 2'
_cell_length_a 4.688
_cell_length_b 4.688
_cell_length_c 2.805
_cell_angle_alpha 90.00
_cell_angle_beta 90.00
_cell_angle_gamma 90.00
loop_
_atom_site_label
_atom_site_fract_x
_atom_site_fract_y
_atom_site_fract_z
Hg1 0.000 0.000 0.000
Os1 0.000 0.500 0.500
Os2 0.500 0.500 0.000
```



# KZrF2

A relaxed KZrF2 crystal (GGA-PBEsol, the Alexandria database).

Calculated values
The formation energy (no corrections) comes out at -671 kJ/mol of formula units.

Structure (CIF):
```
data_KZrF2
_chemical_formula_sum 'K4 Zr4 F8'
_space_group_name_H-M_alt 'I -4 2 d'
_space_group_IT_number 122
_space_group_name_Hall 'I -4 2bw'
_cell_length_a 5.906
_cell_length_b 5.906
_cell_length_c 9.324
_cell_angle_alpha 90.00
_cell_angle_beta 90.00
_cell_angle_gamma 90.00
loop_
_atom_site_label
_atom_site_fract_x
_atom_site_fract_y
_atom_site_fract_z
K1 0.000 0.000 0.000
Zr1 0.000 0.000 0.500
F1 0.206 0.250 0.625
```



# LaZn3In

A relaxed LaZn3In crystal (GGA-PBEsol, the Alexandria database).

Calculated values
For the formation energy, the calculation gives 94.9 kJ/mol of atoms.

Structure (CIF):
```
data_LaZn3In
_chemical_formula_sum 'La1 Zn3 In1'
_space_group_name_H-M_alt 'P m -3 m'
_space_group_IT_number 221
_space_group_name_Hall '-P 4 2 3'
_cell_length_a 5.571
_cell_length_b 5.571
_cell_length_c 5.571
_cell_angle_alpha 90.00
_cell_angle_beta 90.00
_cell_angle_gamma 90.00
loop_
_atom_site_label
_atom_site_fract_x
_atom_site_fract_y
_atom_site_fract_z
La1 0.000 0.000 0.000
Zn1 0.000 0.000 0.500
In1 0.500 0.500 0.500
```



# IrOsCl2

A relaxed IrOsCl2 crystal (GGA-PBEsol, the Alexandria database).

Calculated values
The formation energy (no corrections) comes out at 370 kJ/mol of formula units. The offset from the most stable computed form comes out at 841.3 meV per atom.

Structure (CIF):
```
data_IrOsCl2
_chemical_formula_sum 'Ir1 Os1 Cl2'
_space_group_name_H-M_alt 'P m m m'
_space_group_IT_number 47
_space_group_name_Hall '-P 2 2'
_cell_length_a 2.763
_cell_length_b 4.179
_cell_length_c 5.152
_cell_angle_alpha 90.00
_cell_angle_beta 90.00
_cell_angle_gamma 90.00
loop_
_atom_site_label
_atom_site_fract_x
_atom_site_fract_y
_atom_site_fract_z
Ir1 0.000 0.000 0.000
Os1 0.500 0.000 0.500
Cl1 0.000 0.500 0.500
Cl2 0.500 0.500 0.000
```



# LiCo2TeC

A relaxed LiCo2TeC crystal (GGA-PBEsol, the Alexandria database).

Calculated values
The formation energy (no corrections) comes out at 180 kJ/mol of formula units.

Structure (CIF):
```
data_LiCo2TeC
_chemical_formula_sum 'Li1 Co2 Te1 C1'
_space_group_name_H-M_alt 'P 4/m m m'
_space_group_IT_number 123
_space_group_name_Hall '-P 4 2'
_cell_length_a 3.711
_cell_length_b 3.711
_cell_length_c 4.850
_cell_angle_alpha 90.00
_cell_angle_beta 90.00
_cell_angle_gamma 90.00
loop_
_atom_site_label
_atom_site_fract_x
_atom_site_fract_y
_atom_site_fract_z
Li1 0.000 0.000 0.000
Co1 0.000 0.500 0.500
Te1 0.500 0.500 0.000
C1 0.500 0.500 0.500
```



# Mg2PRh

A relaxed Mg2PRh crystal (GGA-PBEsol, the Alexandria database).

Calculated values
For the formation energy, the calculation gives -53.8 kJ/mol of atoms.

Structure (CIF):
```
data_Mg2PRh
_chemical_formula_sum 'Mg4 P2 Rh2'
_space_group_name_H-M_alt 'A m m 2'
_space_group_IT_number 38
_space_group_name_Hall 'A 2 -2'
_cell_length_a 3.265
_cell_length_b 4.116
_cell_length_c 10.015
_cell_angle_alpha 90.00
_cell_angle_beta 90.00
_cell_angle_gamma 90.00
loop_
_atom_site_label
_atom_site_fract_x
_atom_site_fract_y
_atom_site_fract_z
Mg1 0.000 0.000 0.000
Mg2 0.500 0.000 0.300
P1 0.000 0.000 0.734
Rh1 0.500 0.000 0.578
```



# ZrAl2W

A relaxed ZrAl2W crystal (GGA-PBEsol, the Alexandria database).

Calculated values
For the formation energy, the calculation gives -16.0 kJ/mol of atoms.

Structure (CIF):
```
data_ZrAl2W
_chemical_formula_sum 'Zr2 Al4 W2'
_space_group_name_H-M_alt 'I m m m'
_space_group_IT_number 71
_space_group_name_Hall '-I 2 2'
_cell_length_a 3.613
_cell_length_b 4.346
_cell_length_c 8.537
_cell_angle_alpha 90.00
_cell_angle_beta 90.00
_cell_angle_gamma 90.00
loop_
_atom_site_label
_atom_site_fract_x
_atom_site_fract_y
_atom_site_fract_z
Zr1 0.000 0.000 0.000
Al1 0.000 0.500 0.242
W1 0.000 0.000 0.500
```



# KErP4O12

A relaxed KErP4O12 crystal (GGA-PBEsol, the Alexandria database).

Calculated values
The formation energy (no corrections) comes out at -4316 kJ/mol of formula units. The offset from the most stable computed form comes out at 0.0 meV per atom.

Structure (CIF):
```
data_KErP4O12
_chemical_formula_sum 'K4 Er4 P16 O48'
_space_group_name_H-M_alt 'P 1 21/c 1'
_space_group_IT_number 14
_space_group_name_Hall '-P 2ybc'
_cell_length_a 10.227
_cell_length_b 8.833
_cell_length_c 12.649
_cell_angle_alpha 90.00
_cell_angle_beta 124.78
_cell_angle_gamma 90.00
loop_
_atom_site_label
_atom_site_fract_x
_atom_site_fract_y
_atom_site_fract_z
K1 0.250 0.061 0.041
Er1 0.314 0.728 0.816
P1 0.021 0.022 0.274
P2 0.198 0.612 0.023
P3 0.325 0.169 0.366
P4 0.391 0.093 0.742
O1 0.034 0.551 0.897
O2 0.069 0.590 0.713
O3 0.141 0.590 0.310
O4 0.151 0.156 0.339
O5 0.163 0.712 0.099
O6 0.269 0.049 0.594
O7 0.279 0.212 0.752
O8 0.298 0.670 0.980
O9 0.370 0.024 0.333
O10 0.427 0.541 0.326
O11 0.429 0.243 0.494
O12 0.471 0.678 0.741
```



# RbInSi2Te

A relaxed RbInSi2Te crystal (GGA-PBEsol, the Alexandria database).

Calculated values
The formation energy (no corrections) comes out at 356 kJ/mol of formula units.

Structure (CIF):
```
data_RbInSi2Te
_chemical_formula_sum 'Rb1 In1 Si2 Te1'
_space_group_name_H-M_alt 'P 4/m m m'
_space_group_IT_number 123
_space_group_name_Hall '-P 4 2'
_cell_length_a 5.315
_cell_length_b 5.315
_cell_length_c 6.119
_cell_angle_alpha 90.00
_cell_angle_beta 90.00
_cell_angle_gamma 90.00
loop_
_atom_site_label
_atom_site_fract_x
_atom_site_fract_y
_atom_site_fract_z
Rb1 0.000 0.000 0.000
In1 0.500 0.500 0.000
Si1 0.000 0.500 0.500
Te1 0.500 0.500 0.500
```



# LiSnN

A relaxed LiSnN crystal (GGA-PBEsol, the Alexandria database).

Calculated values
The formation energy (no corrections) comes out at -82 kJ/mol of formula units. The offset from the most stable computed form comes out at 0.0 meV per atom.

Structure (CIF):
```
data_LiSnN
_chemical_formula_sum 'Li2 Sn2 N2'
_space_group_name_H-M_alt 'P 63 m c'
_space_group_IT_number 186
_space_group_name_Hall 'P 6c -2c'
_cell_length_a 3.2310
_cell_length_b 3.2310
_cell_length_c 9.8630
_cell_angle_alpha 90.00
_cell_angle_beta 90.00
_cell_angle_gamma 120.00
loop_
_atom_site_label
_atom_site_fract_x
_atom_site_fract_y
_atom_site_fract_z
Li1 0.3333 0.6667 0.0000
Sn1 0.0000 0.0000 0.2333
N1 0.3333 0.6667 0.6155
```